1.
Below is a relaxed TbNdTh2Sb4 crystal, with properties calculated at the GGA-PBE level.

abc: 7.748 4.494 7.783
angles: 90.00 109.63 90.00
Fractional positions:
Tb: 0.000 0.000 0.000
Nd: 0.000 0.500 0.500
Th: 0.500 0.000 0.500
Th: 0.500 0.500 0.000
Sb: 0.245 0.500 0.245
Sb: 0.248 0.000 0.753
Sb: 0.752 0.000 0.247
Sb: 0.755 0.500 0.755

Output
Symmetry: P2/m (10)
Raw formation energy in eV/f.u.: -8.35
Total energy in eV per cell: -49.1

=====

2.
Below is a relaxed Y2CdGa9 crystal, with properties calculated at the GGA-PBE level.

abc: 4.327 4.327 12.664
angles: 90.00 90.00 90.00
Fractional positions:
Y: 0.000 0.000 0.168
Y: 0.000 0.000 0.832
Cd: 0.000 0.000 0.500
Ga: 0.000 0.500 0.000
Ga: 0.000 0.500 0.341
Ga: 0.000 0.500 0.659
Ga: 0.500 0.000 0.000
Ga: 0.500 0.000 0.341
Ga: 0.500 0.000 0.659
Ga: 0.500 0.500 0.161
Ga: 0.500 0.500 0.500
Ga: 0.500 0.500 0.839

Output
Symmetry: P4/mmm (123)
Formation enthalpy at 0 K in eV per atom: -0.31
Total energy in eV per cell: -44.8

=====

3.
Below is a relaxed ScTa2H crystal, with properties calculated at the GGA-PBE level.

abc: 5.804 5.804 5.804
angles: 119.89 119.89 90.19
Fractional positions:
Sc: 0.375 0.625 0.750
Sc: 0.625 0.375 0.250
Ta: 0.000 0.000 0.000
Ta: 0.000 0.000 0.500
Ta: 0.000 0.500 0.000
Ta: 0.500 0.000 0.500
H: 0.125 0.875 0.250
H: 0.875 0.125 0.750

Output
Symmetry: I4_1/amd (141)
Total energy in eV per cell: -65.3

=====

4.
Below is a relaxed CsCaTlSiSe crystal, with properties calculated at the GGA-PBE level.

abc: 4.624 4.624 9.305
angles: 90.00 90.00 120.00
Fractional positions:
Cs: 0.000 0.000 0.000
Ca: 0.000 0.000 0.579
Tl: 0.333 0.667 0.307
Si: 0.667 0.333 0.425
Se: 0.667 0.333 0.715

Output
Symmetry: P3m1 (156)
Raw formation energy in eV/f.u.: -3.07
Total energy in eV per cell: -17.2

=====

5.
Below is a relaxed CeNb4O12 crystal, with properties calculated at the GGA-PBE level.

abc: 6.805 6.805 6.805
angles: 109.31 109.31 109.79
Fractional positions:
Ce: 0.000 0.000 0.000
Nb: 0.020 0.020 0.508
Nb: 0.020 0.512 0.000
Nb: 0.512 0.020 0.000
Nb: 0.512 0.512 0.492
O: 0.044 0.803 0.241
O: 0.184 0.424 0.240
O: 0.184 0.944 0.760
O: 0.285 0.285 0.583
O: 0.285 0.702 0.000
O: 0.424 0.184 0.240
O: 0.562 0.803 0.759
O: 0.702 0.285 0.000
O: 0.702 0.702 0.417
O: 0.803 0.044 0.241
O: 0.803 0.562 0.759
O: 0.944 0.184 0.760

Output
Symmetry: I4mm (107)
Raw formation energy in eV/f.u.: -45.00
Total energy in eV per cell: -150.7

=====

6.
Below is a relaxed Cd6Ag12Pb crystal, with properties calculated at the GGA-PBE level.

abc: 7.287 7.287 7.287
angles: 90.52 90.52 90.52
Fractional positions:
Cd: 0.194 0.611 0.771
Cd: 0.229 0.806 0.389
Cd: 0.389 0.229 0.806
Cd: 0.611 0.771 0.194
Cd: 0.771 0.194 0.611
Cd: 0.806 0.389 0.229
Ag: 0.027 0.290 0.933
Ag: 0.067 0.973 0.710
Ag: 0.128 0.318 0.476
Ag: 0.290 0.933 0.027
Ag: 0.318 0.476 0.128
Ag: 0.476 0.128 0.318
Ag: 0.524 0.872 0.682
Ag: 0.682 0.524 0.872
Ag: 0.710 0.067 0.973
Ag: 0.872 0.682 0.524
Ag: 0.933 0.027 0.290
Ag: 0.973 0.710 0.067
Pb: 0.500 0.500 0.500

Output
Symmetry: R-3 (148)
Formation enthalpy at 0 K in eV per atom: 0.06
Total energy in eV per cell: -42.3

=====

7.
Below is a relaxed NbFe3Os crystal, with properties calculated at the GGA-PBE level.

abc: 4.375 4.375 4.375
angles: 90.00 90.00 90.00
Fractional positions:
Nb: 0.000 0.000 0.000
Fe: 0.000 0.000 0.500
Fe: 0.000 0.500 0.000
Fe: 0.500 0.000 0.000
Os: 0.500 0.500 0.500

Output
Symmetry: Pm-3m (221)
Formation enthalpy at 0 K in eV per atom: 1.90
Total energy in eV per cell: -37.2

=====

8.
Below is a relaxed NaTbHg crystal, with properties calculated at the GGA-PBE level.

abc: 7.080 7.080 7.080
angles: 149.71 149.71 43.37
Fractional positions:
Na: 0.000 0.000 0.000
Tb: 0.280 0.280 0.000
Hg: 0.657 0.657 0.000

Output
Symmetry: I4mm (107)
Formation enthalpy at 0 K in eV per atom: -0.12
Total energy in eV per cell: -6.6